No. 1
SmGdOs4 | PBE | optimized geometry

**Space group**: F-43m (216)
**ΔE_f**: -0.186 eV/atom
**Density**: 15.97 g cm⁻³
**Fermi-level density of states**: 5.60 states/eV per cell

a b c (Å): 5.396 5.396 5.396
angles (deg): 60.00 60.00 60.00
Fractional coordinates of all 6 atoms:
1 Os 0.625 0.625 0.625
2 Os 0.625 0.625 0.125
3 Os 0.125 0.625 0.625
4 Os 0.625 0.125 0.625
5 Sm 0.000 0.000 0.000
6 Gd 0.250 0.250 0.250


No. 2
InSnPb2S5 | PBE | optimized geometry

**Space group**: Cmc2_1 (36)
**Density**: 5.92 g cm⁻³
**Raw formation energy**: -0.46 eV per atom
**Fermi-level density of states**: 6.20 states/eV per cell

a b c (Å): 3.939 8.945 13.188
angles (deg): 90.00 90.00 102.72
Fractional coordinates of all 18 atoms:
1 In 0.546 0.091 0.936
2 In 0.454 0.909 0.436
3 Sn 0.788 0.575 0.528
4 Sn 0.212 0.425 0.028
5 S 0.484 0.967 0.771
6 S 0.045 0.090 0.052
7 S 0.516 0.033 0.271
8 S 0.717 0.434 0.172
9 S 0.363 0.726 0.008
10 S 0.283 0.566 0.672
11 S 0.312 0.623 0.387
12 S 0.688 0.377 0.887
13 S 0.637 0.274 0.508
14 S 0.955 0.910 0.552
15 Pb 0.112 0.224 0.660
16 Pb 0.864 0.728 0.810
17 Pb 0.136 0.272 0.310
18 Pb 0.888 0.776 0.160


No. 3
PmScO3 | PBE | optimized geometry

**Space group**: P2_1/m (11)
**Density**: 4.82 g cm⁻³
**Raw formation energy**: -3.44 eV per atom
**Fermi-level density of states**: 0.00 states/eV per cell

a b c (Å): 3.824 5.641 8.419
angles (deg): 115.53 90.00 90.00
Fractional coordinates of all 10 atoms:
1 Sc 0.750 0.852 0.165
2 Sc 0.250 0.684 0.835
3 O 0.750 0.207 0.374
4 O 0.250 0.947 0.108
5 O 0.250 0.329 0.626
6 O 0.750 0.689 0.336
7 O 0.750 0.589 0.892
8 O 0.250 0.847 0.664
9 Pm 0.750 0.093 0.610
10 Pm 0.250 0.443 0.390


No. 4
RbErAgS2 | PBE | optimized geometry

**Space group**: P2/c (13)
**Density**: 4.82 g cm⁻³
**Raw formation energy**: -1.10 eV per atom
**Fermi-level density of states**: 1.98 states/eV per cell

a b c (Å): 5.059 7.642 7.654
angles (deg): 98.66 90.00 90.00
Fractional coordinates of all 10 atoms:
1 S 0.381 0.768 0.466
2 S 0.619 0.232 0.534
3 S 0.381 0.232 0.034
4 S 0.619 0.768 0.966
5 Er 0.505 0.000 0.750
6 Er 0.495 0.000 0.250
7 Ag 0.000 0.000 0.500
8 Ag 0.000 0.000 0.000
9 Rb 0.132 0.500 0.750
10 Rb 0.868 0.500 0.250


no.,calculated total energy (eV/cell)
1,-64.838
2,-77.824
3,-86.276
4,-44.316